First-principles (PBE) data for a relaxed structure of Mg2InSn, as listed in Alexandria via LeMat-Bulk.

```
Mg2InSn
1.0
4.836 0.000 0.000
2.418 4.188 0.000
2.418 1.396 5.239
In Sn Mg
1 1 2
direct
0.681 0.681 0.957 In
0.484 0.484 0.547 Sn
0.069 0.069 0.793 Mg
0.266 0.266 0.203 Mg
```

Output
For the energy of formation from the pure elements, the calculation gives 0.01 eV per atom. Its calculated volume is 26.5 Å³ per atom. Its crystal system is trigonal.

***

First-principles (PBE) data for a relaxed structure of Th2Sb3Pd5, as listed in Alexandria via LeMat-Bulk.

```
Th2Sb3Pd5
1.0
-1.455 0.769 4.247
3.118 -6.260 2.202
11.590 5.933 0.454
Pd Sb Th
10 6 4
direct
0.716 0.468 0.433 Pd
0.946 0.037 0.891 Pd
0.712 0.046 0.423 Pd
0.288 0.546 0.577 Pd
0.114 0.200 0.227 Pd
0.054 0.537 0.109 Pd
0.886 0.700 0.773 Pd
0.394 0.420 0.787 Pd
0.606 0.920 0.213 Pd
0.284 0.968 0.567 Pd
0.047 0.914 0.093 Sb
0.953 0.414 0.907 Sb
0.388 0.029 0.777 Sb
0.219 0.260 0.437 Sb
0.612 0.529 0.223 Sb
0.781 0.760 0.563 Sb
0.523 0.221 0.047 Th
0.177 0.770 0.355 Th
0.477 0.721 0.953 Th
0.823 0.270 0.645 Th
```

Output
As for the uncorrected formation energy: -0.77 eV/atom. Its calculated volume is 21.4 Å³ per atom. Its crystal system is orthorhombic.

***

First-principles (PBE) data for a relaxed structure of CePuAl4, as listed in Alexandria via LeMat-Bulk.

```
CePuAl4
1.0
5.558 0.000 0.000
2.779 4.813 0.000
2.779 1.604 4.538
Al Pu Ce
4 1 1
direct
0.124 0.625 0.625 Al
0.625 0.625 0.625 Al
0.625 0.625 0.124 Al
0.625 0.124 0.625 Al
0.000 0.000 0.000 Pu
0.250 0.250 0.250 Ce
```

Output
For the energy of formation from the pure elements, the calculation gives -0.43 eV per atom. Its calculated volume is 20.2 Å³ per atom. Its crystal system is cubic.

***

First-principles (PBE) data for a relaxed structure of B11H10SI, as listed in Alexandria via LeMat-Bulk.

```
B11H10SI
1.0
13.706 0.000 0.000
0.000 7.470 -0.036
0.000 7.306 11.883
S B H I
4 44 40 4
direct
0.797 0.893 0.397 S
0.203 0.107 0.603 S
0.703 0.893 0.897 S
0.297 0.107 0.103 S
0.275 0.083 0.820 B
0.676 0.718 0.460 B
0.916 0.808 0.857 B
0.824 0.718 0.960 B
0.324 0.168 0.225 B
0.339 0.997 0.648 B
0.129 0.982 0.274 B
0.225 0.083 0.320 B
0.161 0.997 0.148 B
0.223 0.388 0.587 B
0.871 0.018 0.726 B
0.748 0.073 0.738 B
0.723 0.612 0.913 B
0.676 0.832 0.775 B
0.629 0.018 0.226 B
0.416 0.192 0.643 B
0.847 0.578 0.893 B
0.752 0.073 0.238 B
0.176 0.282 0.040 B
0.324 0.282 0.540 B
0.252 0.927 0.262 B
0.622 0.760 0.251 B
0.347 0.422 0.607 B
0.153 0.422 0.107 B
0.176 0.168 0.725 B
0.584 0.808 0.357 B
0.725 0.917 0.180 B
0.775 0.917 0.680 B
0.653 0.578 0.393 B
0.824 0.832 0.275 B
0.371 0.982 0.774 B
0.084 0.192 0.143 B
0.122 0.240 0.249 B
0.277 0.388 0.087 B
0.260 0.355 0.716 B
0.740 0.645 0.284 B
0.248 0.927 0.762 B
0.878 0.760 0.751 B
0.760 0.645 0.784 B
0.240 0.355 0.216 B
0.839 0.003 0.852 B
0.378 0.240 0.749 B
0.661 0.003 0.352 B
0.777 0.612 0.413 B
0.768 0.522 0.260 H
0.268 0.478 0.240 H
0.667 0.488 0.980 H
0.333 0.512 0.020 H
0.578 0.159 0.161 H
0.668 0.660 0.557 H
0.591 0.845 0.756 H
0.743 0.988 0.083 H
0.643 0.124 0.381 H
0.792 0.238 0.195 H
0.732 0.522 0.760 H
0.502 0.800 0.386 H
0.381 0.594 0.553 H
0.091 0.155 0.744 H
0.257 0.012 0.917 H
0.119 0.594 0.053 H
0.208 0.762 0.805 H
0.922 0.159 0.661 H
0.232 0.478 0.740 H
0.619 0.406 0.447 H
0.909 0.845 0.256 H
0.357 0.876 0.619 H
0.409 0.155 0.244 H
0.168 0.340 0.943 H
0.757 0.988 0.583 H
0.243 0.012 0.417 H
0.422 0.841 0.839 H
0.078 0.841 0.339 H
0.143 0.876 0.119 H
0.167 0.512 0.520 H
0.292 0.762 0.305 H
0.833 0.488 0.480 H
0.857 0.124 0.881 H
0.498 0.200 0.614 H
0.332 0.340 0.443 H
0.998 0.800 0.886 H
0.002 0.200 0.114 H
0.881 0.406 0.947 H
0.832 0.660 0.057 H
0.708 0.238 0.695 H
0.484 0.322 0.838 I
0.016 0.322 0.338 I
0.984 0.678 0.662 I
0.516 0.678 0.162 I
```

Output
As for the total energy: -5.071 eV/atom. Its calculated volume is 13.3 Å³ per atom. Its crystal system is monoclinic.

***

First-principles (PBE) data for a relaxed structure of Li3PdAu6, as listed in Alexandria via LeMat-Bulk.

```
Li3PdAu6
1.0
-4.221 -3.097 -0.360
4.181 -5.118 -4.982
1.255 -2.611 7.752
Au Li Pd
12 6 2
direct
0.272 0.966 0.034 Au
0.133 0.742 0.258 Au
0.595 0.318 0.395 Au
0.368 0.039 0.458 Au
0.633 0.258 0.742 Au
0.868 0.458 0.039 Au
0.095 0.682 0.605 Au
0.095 0.395 0.318 Au
0.772 0.034 0.966 Au
0.868 0.961 0.542 Au
0.368 0.542 0.961 Au
0.595 0.605 0.682 Au
0.442 0.283 0.083 Li
0.442 0.917 0.717 Li
0.942 0.083 0.283 Li
0.942 0.717 0.917 Li
0.636 0.630 0.370 Li
0.136 0.370 0.630 Li
0.137 0.179 0.821 Pd
0.637 0.821 0.179 Pd
```

Output
For the energy of formation from the pure elements, the calculation gives -0.28 eV per atom. Its calculated volume is 17.2 Å³ per atom. Its crystal system is orthorhombic. As for the distance to the lowest polymorph of the same formula: 0.099 eV per atom.

***

First-principles (PBE) data for a relaxed structure of AsOsRh, as listed in Alexandria via LeMat-Bulk.

```
AsOsRh
1.0
4.580 0.008 -0.004
1.877 4.178 0.004
-2.798 -2.758 2.355
As Os Rh
1 1 1
direct
0.999 0.999 0.000 As
0.323 0.323 0.000 Os
0.678 0.678 0.000 Rh
```

Output
For the energy of formation from the pure elements, the calculation gives 0.40 eV per atom. Its calculated volume is 15.0 Å³ per atom. Its crystal system is orthorhombic. As for the distance to the lowest polymorph of the same formula: 0.265 eV per atom.

***

Copy entry 2 word for word.
First-principles (PBE) data for a relaxed structure of Th2Sb3Pd5, as listed in Alexandria via LeMat-Bulk.

```
Th2Sb3Pd5
1.0
-1.455 0.769 4.247
3.118 -6.260 2.202
11.590 5.933 0.454
Pd Sb Th
10 6 4
direct
0.716 0.468 0.433 Pd
0.946 0.037 0.891 Pd
0.712 0.046 0.423 Pd
0.288 0.546 0.577 Pd
0.114 0.200 0.227 Pd
0.054 0.537 0.109 Pd
0.886 0.700 0.773 Pd
0.394 0.420 0.787 Pd
0.606 0.920 0.213 Pd
0.284 0.968 0.567 Pd
0.047 0.914 0.093 Sb
0.953 0.414 0.907 Sb
0.388 0.029 0.777 Sb
0.219 0.260 0.437 Sb
0.612 0.529 0.223 Sb
0.781 0.760 0.563 Sb
0.523 0.221 0.047 Th
0.177 0.770 0.355 Th
0.477 0.721 0.953 Th
0.823 0.270 0.645 Th
```

Output
As for the uncorrected formation energy: -0.77 eV/atom. Its calculated volume is 21.4 Å³ per atom. Its crystal system is orthorhombic.

***

What is the calculated volume in the fourth record? 13.3 Å³ per atom

***

Which of these has the highest calculated volume? Mg2InSn

***

What is the calculated volume in the fifth record? 17.2 Å³ per atom